[1]
{
  "formula": "Ac4ThSb6",
  "functional": "PBE-GGA",
  "state": "relaxed",
  "lattice": [[-1.0044, -8.4480, -3.6894], [0.7010, -4.1388, 8.2686], [-9.1588, 1.1428, 0.8944]],
  "species": ["Th", "Th", "Ac", "Ac", "Ac", "Ac", "Ac", "Ac", "Ac", "Ac", "Sb", "Sb", "Sb", "Sb", "Sb", "Sb", "Sb", "Sb", "Sb", "Sb", "Sb", "Sb"],
  "frac_coords": [[0.0000, 0.0000, 0.0000], [0.5000, 0.5000, 0.5000], [0.6323, 0.8677, 0.7500], [0.7500, 0.7500, 0.2500], [0.8677, 0.2500, 0.3677], [0.2500, 0.2500, 0.7500], [0.1323, 0.7500, 0.6323], [0.2500, 0.6323, 0.1323], [0.7500, 0.3677, 0.8677], [0.3677, 0.1323, 0.2500], [0.0730, 0.9170, 0.3204], [0.6796, 0.0730, 0.0830], [0.9270, 0.0830, 0.6796], [0.9170, 0.6796, 0.9270], [0.5830, 0.4270, 0.1796], [0.4170, 0.5730, 0.8204], [0.4270, 0.8204, 0.4170], [0.5730, 0.1796, 0.5830], [0.0830, 0.3204, 0.0730], [0.3204, 0.9270, 0.9170], [0.8204, 0.5830, 0.5730], [0.1796, 0.4170, 0.4270]],
  "e_tot_ev_per_cell": -118.5,
  "vol_a3_per_fu": 397.6,
  "total_magnetization_mub_per_cell": 0.0,
  "dos_at_fermi_per_ev_fu": 6.07,
  "formation_energy_uncorrected_ev_per_atom": -0.971
}

---

[2]
{
  "formula": "Ac4ThSb5",
  "functional": "PBE-GGA",
  "state": "relaxed",
  "lattice": [[-2.7775, -3.0815, -2.2831], [3.3574, -0.5913, -3.2864], [6.2613, -10.6986, 11.7331]],
  "species": ["Ac", "Ac", "Ac", "Ac", "Sb", "Sb", "Sb", "Sb", "Sb", "Th"],
  "frac_coords": [[0.1993, 0.1993, 0.3985], [0.8007, 0.8007, 0.6015], [0.4002, 0.4002, 0.8003], [0.5998, 0.5998, 0.1997], [0.9045, 0.9045, 0.8090], [0.0955, 0.0955, 0.1910], [0.5000, 0.5000, 0.0000], [0.3004, 0.3004, 0.6007], [0.6996, 0.6996, 0.3993], [0.0000, 0.0000, 0.0000]],
  "e_tot_ev_per_cell": -55.9,
  "vol_a3_per_fu": 375.3,
  "total_magnetization_mub_per_cell": 0.0,
  "dos_at_fermi_per_ev_fu": 2.65,
  "formation_energy_uncorrected_ev_per_atom": -1.142
}

---

[3]
{
  "formula": "Ac3TmTh2Sb6",
  "functional": "PBE-GGA",
  "state": "relaxed",
  "lattice": [[-1.8874, -3.3819, -6.9766], [7.5597, -0.0592, 2.5535], [-3.1410, -5.4487, 5.0133]],
  "species": ["Ac", "Ac", "Ac", "Th", "Th", "Sb", "Sb", "Sb", "Sb", "Sb", "Sb", "Tm"],
  "frac_coords": [[0.1686, 0.8314, 0.5000], [0.5000, 0.5000, 0.5000], [0.8314, 0.1686, 0.5000], [0.6659, 0.3341, 0.0000], [0.3341, 0.6659, 0.0000], [0.0758, 0.4037, 0.2284], [0.4037, 0.0758, 0.2284], [0.2504, 0.2504, 0.7689], [0.5963, 0.9242, 0.7716], [0.9242, 0.5963, 0.7716], [0.7496, 0.7496, 0.2311], [0.0000, 0.0000, 0.0000]],
  "e_tot_ev_per_cell": -69.4,
  "vol_a3_per_fu": 418.3,
  "total_magnetization_mub_per_cell": 0.0,
  "dos_at_fermi_per_ev_fu": 3.02,
  "formation_energy_uncorrected_ev_per_atom": -1.087
}

---

[4]
{
  "formula": "Ac4YTh3Sb8",
  "functional": "PBE-GGA",
  "state": "relaxed",
  "lattice": [[-6.9858, 4.2556, -4.2918], [-4.9903, -0.2898, 7.8356], [8.4072, 3.8267, 0.0509]],
  "species": ["Ac", "Ac", "Ac", "Ac", "Th", "Th", "Th", "Sb", "Sb", "Sb", "Sb", "Sb", "Sb", "Sb", "Sb", "Y"],
  "frac_coords": [[0.5000, 0.0000, 0.0000], [0.0000, 0.0000, 0.0000], [0.5000, 0.0000, 0.5000], [0.0000, 0.0000, 0.5000], [0.0000, 0.5000, 0.5000], [0.5000, 0.5000, 0.5000], [0.5000, 0.5000, 0.0000], [0.2422, 0.7306, 0.9884], [0.2538, 0.2694, 0.0116], [0.7443, 0.7328, 0.4886], [0.7578, 0.2694, 0.0116], [0.7462, 0.7306, 0.9884], [0.2557, 0.2672, 0.5114], [0.2422, 0.7306, 0.4844], [0.7578, 0.2694, 0.5156], [0.0000, 0.5000, 0.0000]],
  "e_tot_ev_per_cell": -95.7,
  "vol_a3_per_fu": 562.5,
  "total_magnetization_mub_per_cell": 0.0,
  "dos_at_fermi_per_ev_fu": 6.55,
  "formation_energy_uncorrected_ev_per_atom": -1.095
}

---

[5]
{
  "formula": "AcTiSb3",
  "functional": "PBE-GGA",
  "state": "relaxed",
  "lattice": [[-1.3152, -5.4925, 2.8115], [6.2761, -1.4845, 0.0359], [1.3685, 6.0885, 12.5343]],
  "species": ["Sb", "Sb", "Sb", "Sb", "Sb", "Sb", "Sb", "Sb", "Sb", "Sb", "Sb", "Sb", "Ti", "Ti", "Ti", "Ti", "Ac", "Ac", "Ac", "Ac"],
  "frac_coords": [[0.7500, 0.3951, 0.9324], [0.7500, 0.4920, 0.2113], [0.5000, 0.2500, 0.4982], [0.0000, 0.7500, 0.5018], [0.2500, 0.0080, 0.2113], [0.5000, 0.7500, 0.5018], [0.7500, 0.9920, 0.7887], [0.2500, 0.6049, 0.0676], [0.0000, 0.2500, 0.4982], [0.2500, 0.5080, 0.7887], [0.2500, 0.1049, 0.9324], [0.7500, 0.8951, 0.0676], [0.5000, 0.2500, 0.0844], [0.0000, 0.7500, 0.9156], [0.5000, 0.7500, 0.9156], [0.0000, 0.2500, 0.0844], [0.2500, 0.5056, 0.3117], [0.7500, 0.9944, 0.3117], [0.2500, 0.0056, 0.6883], [0.7500, 0.4944, 0.6883]],
  "e_tot_ev_per_cell": -111.8,
  "vol_a3_per_fu": 142.4,
  "total_magnetization_mub_per_cell": 0.0,
  "dos_at_fermi_per_ev_fu": 2.65,
  "formation_energy_uncorrected_ev_per_atom": -0.716
}

---

[6]
{
  "formula": "AcTiSb3",
  "functional": "PBE-GGA",
  "state": "relaxed",
  "lattice": [[-0.0933, 4.7154, -2.4697], [-5.3190, -0.1791, -0.1409], [-0.2079, 2.4650, 4.7143]],
  "species": ["Sb", "Sb", "Sb", "Ti", "Ac"],
  "frac_coords": [[0.0000, 0.0000, 0.5000], [0.0000, 0.5000, 0.0000], [0.5000, 0.0000, 0.0000], [0.0000, 0.0000, 0.0000], [0.5000, 0.5000, 0.5000]],
  "e_tot_ev_per_cell": -26.5,
  "vol_a3_per_fu": 150.9,
  "total_magnetization_mub_per_cell": 0.0,
  "dos_at_fermi_per_ev_fu": 2.72,
  "formation_energy_uncorrected_ev_per_atom": -0.430
}

---

[7]
{
  "formula": "Ac2TiSb",
  "functional": "PBE-GGA",
  "state": "relaxed",
  "lattice": [[-1.5805, 3.3960, -2.2474], [0.0983, -2.9749, -4.5645], [-5.0792, -1.7021, 0.9999]],
  "species": ["Ac", "Ac", "Ti", "Sb"],
  "frac_coords": [[0.0000, 0.5000, 0.0000], [0.0000, 0.0000, 0.5000], [0.5000, 0.0000, 0.0000], [0.5000, 0.5000, 0.5000]],
  "e_tot_ev_per_cell": -21.1,
  "vol_a3_per_fu": 129.7,
  "total_magnetization_mub_per_cell": 2.8,
  "dos_at_fermi_per_ev_fu": 4.42,
  "formation_energy_uncorrected_ev_per_atom": -0.205
}

---

[8]
{
  "formula": "Ac2TlSb",
  "functional": "PBE-GGA",
  "state": "relaxed",
  "lattice": [[-3.7503, 1.7224, -2.3916], [-0.7869, -4.4069, -1.9399], [-7.4965, -0.8622, 11.1345]],
  "species": ["Ac", "Ac", "Ac", "Ac", "Tl", "Tl", "Sb", "Sb"],
  "frac_coords": [[0.7500, 0.6854, 0.3708], [0.7500, 0.9361, 0.8721], [0.2500, 0.3146, 0.6292], [0.2500, 0.0639, 0.1279], [0.7500, 0.5411, 0.0822], [0.2500, 0.4589, 0.9178], [0.7500, 0.8117, 0.6234], [0.2500, 0.1883, 0.3766]],
  "e_tot_ev_per_cell": -35.6,
  "vol_a3_per_fu": 153.9,
  "total_magnetization_mub_per_cell": 0.0,
  "dos_at_fermi_per_ev_fu": 2.77,
  "formation_energy_uncorrected_ev_per_atom": -0.768
}

---

[9]
{
  "formula": "AcTlSb",
  "functional": "PBE-GGA",
  "state": "relaxed",
  "lattice": [[-4.1600, 0.8847, -0.7402], [0.0921, -3.0755, -4.1934], [-1.2470, -1.9755, 4.6469]],
  "species": ["Ac", "Sb", "Tl"],
  "frac_coords": [[0.0141, 0.0000, 0.0000], [0.5717, 0.6667, 0.3333], [0.4141, 0.3333, 0.6667]],
  "e_tot_ev_per_cell": -12.1,
  "vol_a3_per_fu": 101.1,
  "total_magnetization_mub_per_cell": 0.0,
  "dos_at_fermi_per_ev_fu": 2.10,
  "formation_energy_uncorrected_ev_per_atom": -0.503
}

---

[10]
{
  "formula": "AcTl4Sb",
  "functional": "PBE-GGA",
  "state": "relaxed",
  "lattice": [[6.4430, 0.0000, 0.0000], [3.2215, 5.5798, 0.0000], [3.2215, 1.8599, 5.2607]],
  "species": ["Tl", "Tl", "Tl", "Tl", "Ac", "Sb"],
  "frac_coords": [[0.6253, 0.1240, 0.6253], [0.1240, 0.6253, 0.6253], [0.6253, 0.6253, 0.1240], [0.6253, 0.6253, 0.6253], [0.2500, 0.2500, 0.2500], [0.0000, 0.0000, 0.0000]],
  "e_tot_ev_per_cell": -18.1,
  "vol_a3_per_fu": 189.1,
  "total_magnetization_mub_per_cell": 0.0,
  "dos_at_fermi_per_ev_fu": 5.92,
  "formation_energy_uncorrected_ev_per_atom": -0.060
}

---

[11]
{
  "formula": "AcTl2Sb",
  "functional": "PBE-GGA",
  "state": "relaxed",
  "lattice": [[-4.3793, -0.8387, -2.6673], [-0.1036, -4.6401, 1.6290], [-2.6450, 1.4262, 3.8943]],
  "species": ["Tl", "Tl", "Ac", "Sb"],
  "frac_coords": [[0.0000, 0.5000, 0.0000], [0.0000, 0.0000, 0.5000], [0.5000, 0.0000, 0.0000], [0.5000, 0.5000, 0.5000]],
  "e_tot_ev_per_cell": -14.9,
  "vol_a3_per_fu": 125.7,
  "total_magnetization_mub_per_cell": 0.0,
  "dos_at_fermi_per_ev_fu": 2.40,
  "formation_energy_uncorrected_ev_per_atom": -0.489
}

---

[12]
{
  "formula": "AcTlSb",
  "functional": "PBE-GGA",
  "state": "relaxed",
  "lattice": [[5.5160, 0.0000, 0.0000], [2.7580, 4.7770, 0.0000], [2.7580, 1.5923, 4.5038]],
  "species": ["Ac", "Sb", "Tl"],
  "frac_coords": [[0.2500, 0.2500, 0.2500], [0.5000, 0.5000, 0.5000], [0.0000, 0.0000, 0.0000]],
  "e_tot_ev_per_cell": -11.5,
  "vol_a3_per_fu": 118.7,
  "total_magnetization_mub_per_cell": 0.0,
  "dos_at_fermi_per_ev_fu": 4.08,
  "formation_energy_uncorrected_ev_per_atom": -0.300
}